No. 1
A plane-wave DFT calculation with PBE was carried out for crystalline K3Sm3WS8 at its relaxed geometry.

a b c (Å): 8.8354 8.8354 8.8354
angles (deg): 53.75 53.75 53.75
Closest atoms and distances in Å follow each position.
Fractional coordinates of all 15 atoms:
K  0.0000  0.5000  0.5000  6 S 3.19-3.21
K  0.5000  0.0000  0.5000  6 S 3.19-3.21
K  0.5000  0.5000  0.0000  6 S 3.19-3.21
Sm  0.0000  0.0000  0.5000  6 S 2.79-2.82
Sm  0.0000  0.5000  0.0000  6 S 2.79-2.82
Sm  0.5000  0.0000  0.0000  6 S 2.79-2.82
W  0.5000  0.5000  0.5000  6 S 2.52
S  0.2359  0.2359  0.2359  3 Sm 2.79
S  0.2637  0.7129  0.7129  1 W 2.52
S  0.2871  0.2871  0.7363  1 W 2.52
S  0.2871  0.7363  0.2871  1 W 2.52
S  0.7129  0.2637  0.7129  1 W 2.52
S  0.7129  0.7129  0.2637  1 W 2.52
S  0.7363  0.2871  0.2871  1 W 2.52
S  0.7641  0.7641  0.7641  3 Sm 2.79

Results
space-group type	R-3m (166)
calculated density	4.0	Mg/m³
D(E_F)	0.39	states/eV per atom
formation energy without anion corrections	-144.5	kJ per mole of atoms


No. 2
A plane-wave DFT calculation with PBE was carried out for crystalline Li6CdAu at its relaxed geometry.

a b c (Å): 7.0494 7.0494 11.5606
angles (deg): 90.00 90.00 108.11
Closest atoms and distances in Å follow each position.
Fractional coordinates of all 32 atoms:
Li  0.0000  0.0000  0.0000  8 Li 2.83, 4 Au 2.87-2.93
Li  0.0000  0.0000  0.5000  8 Li 2.85, 2 Au 2.91, 2 Cd 2.94
Li  0.1125  0.3676  0.1198  8 Li 2.77-2.94, 3 Au 2.84-2.88, 1 Cd 3.00
Li  0.1125  0.3676  0.8802  8 Li 2.77-2.94, 3 Au 2.84-2.88, 1 Cd 3.00
Li  0.1153  0.3603  0.3695  1 Au 2.79, 8 Li 2.80-3.03, 3 Cd 2.92-2.98
Li  0.1153  0.3603  0.6305  1 Au 2.79, 8 Li 2.80-3.03, 3 Cd 2.92-2.98
Li  0.2469  0.7531  0.2395  2 Au 2.77-2.82, 8 Li 2.78-3.03, 2 Cd 2.89-3.01
Li  0.2469  0.7531  0.7605  2 Au 2.77-2.82, 8 Li 2.78-3.03, 2 Cd 2.89-3.01
Li  0.3603  0.1153  0.3695  1 Au 2.79, 8 Li 2.80-3.03, 3 Cd 2.92-2.98
Li  0.3603  0.1153  0.6305  1 Au 2.79, 8 Li 2.80-3.03, 3 Cd 2.92-2.98
Li  0.3676  0.1125  0.1198  8 Li 2.77-2.94, 3 Au 2.84-2.88, 1 Cd 3.00
Li  0.3676  0.1125  0.8802  8 Li 2.77-2.94, 3 Au 2.84-2.88, 1 Cd 3.00
Li  0.5000  0.5000  0.0000  2 Au 2.77, 2 Cd 2.89, 8 Li 2.94
Li  0.5000  0.5000  0.5000  4 Cd 2.77-2.89, 8 Li 2.99
Li  0.6324  0.8875  0.1198  8 Li 2.77-2.94, 3 Au 2.84-2.88, 1 Cd 3.00
Li  0.6324  0.8875  0.8802  8 Li 2.77-2.94, 3 Au 2.84-2.88, 1 Cd 3.00
Li  0.6397  0.8847  0.3695  1 Au 2.79, 8 Li 2.80-3.03, 3 Cd 2.92-2.98
Li  0.6397  0.8847  0.6305  1 Au 2.79, 8 Li 2.80-3.03, 3 Cd 2.92-2.98
Li  0.7531  0.2469  0.2395  2 Au 2.77-2.82, 8 Li 2.78-3.03, 2 Cd 2.89-3.01
Li  0.7531  0.2469  0.7605  2 Au 2.77-2.82, 8 Li 2.78-3.03, 2 Cd 2.89-3.01
Li  0.8847  0.6397  0.3695  1 Au 2.79, 8 Li 2.80-3.03, 3 Cd 2.92-2.98
Li  0.8847  0.6397  0.6305  1 Au 2.79, 8 Li 2.80-3.03, 3 Cd 2.92-2.98
Li  0.8875  0.6324  0.1198  8 Li 2.77-2.94, 3 Au 2.84-2.88, 1 Cd 3.00
Li  0.8875  0.6324  0.8802  8 Li 2.77-2.94, 3 Au 2.84-2.88, 1 Cd 3.00
Cd  0.2572  0.7428  0.5000  12 Li 2.77-3.01
Cd  0.5000  0.5000  0.2501  12 Li 2.89-3.00
Cd  0.5000  0.5000  0.7499  12 Li 2.89-3.00
Cd  0.7428  0.2572  0.5000  12 Li 2.77-3.01
Au  0.0000  0.0000  0.2484  12 Li 2.79-2.91
Au  0.0000  0.0000  0.7516  12 Li 2.79-2.91
Au  0.2570  0.7430  0.0000  12 Li 2.77-2.93
Au  0.7430  0.2570  0.0000  12 Li 2.77-2.93

Results
energy of formation from the pure elements	-0.2631	eV/atom
space-group type	Cmmm (65)
calculated density	4.3	Mg/m³
D(E_F)	0.39	states/eV per atom


No. 3
A plane-wave DFT calculation with PBE was carried out for crystalline YIn2Ag6 at its relaxed geometry.

a b c (Å): 8.2828 8.2828 8.2828
angles (deg): 156.45 121.20 64.23
Closest atoms and distances in Å follow each position.
Fractional coordinates of all 9 atoms:
Y  0.0000  0.0000  0.0000  12 Ag 3.15-3.30, 2 Y 3.38
In  0.3530  0.8530  0.5000  10 Ag 2.87-3.17
In  0.6470  0.1470  0.5000  10 Ag 2.87-3.17
Ag  0.0013  0.6748  0.3265  4 Ag 2.75-2.98, 1 In 2.87
Ag  0.3263  0.5000  0.8263  3 Ag 2.75-2.83, 4 In 3.02
Ag  0.3484  0.6748  0.6735  4 Ag 2.75-2.98, 1 In 2.87
Ag  0.6516  0.3252  0.3265  4 Ag 2.75-2.98, 1 In 2.87
Ag  0.6737  0.5000  0.1737  3 Ag 2.75-2.83, 4 In 3.02
Ag  0.9987  0.3252  0.6735  4 Ag 2.75-2.98, 1 In 2.87

Results
energy of formation from the pure elements	-0.0528	eV/atom
space-group type	Immm (71)
calculated density	8.3	Mg/m³
D(E_F)	0.30	states/eV per atom


No. 4
A plane-wave DFT calculation with PBE was carried out for crystalline CuRuCl2 at its relaxed geometry.

a b c (Å): 3.0662 5.4877 9.0726
angles (deg): 90.00 90.00 90.00
Closest atoms and distances in Å follow each position.
Fractional coordinates of all 8 atoms:
Cu  0.0000  0.0000  0.0000  2 Cl 2.24
Cu  0.5000  0.5000  0.0000  2 Cl 2.24
Ru  0.0000  0.5000  0.7744  2 Cl 2.35, 2 Cu 2.56
Ru  0.5000  0.0000  0.7744  2 Cl 2.35, 2 Cu 2.56
Cl  0.0000  0.0000  0.5776  2 Ru 2.35
Cl  0.0000  0.5000  0.1801  2 Cu 2.24
Cl  0.5000  0.0000  0.1801  2 Cu 2.24
Cl  0.5000  0.5000  0.5776  2 Ru 2.35

Results
relative energy among the computed polymorphs	0.205	eV per atom
space-group type	Cmm2 (35)
calculated density	5.1	Mg/m³
D(E_F)	1.14	states/eV per atom
formation energy without anion corrections	22.8	kJ per mole of atoms


No. 5
A plane-wave DFT calculation with PBE was carried out for crystalline Tc5C at its relaxed geometry.

a b c (Å): 4.1424 2.7971 14.3414
angles (deg): 90.00 90.00 90.00
Closest atoms and distances in Å follow each position.
Fractional coordinates of all 12 atoms:
Tc  0.0000  0.0000  0.0000  12 Tc 2.62-2.87
Tc  0.0000  0.0000  0.3256  4 C 2.50, 6 Tc 2.62-2.80
Tc  0.0000  0.0000  0.6713  10 Tc 2.62-2.83
Tc  0.0000  0.5000  0.1713  10 Tc 2.62-2.83
Tc  0.0000  0.5000  0.5000  12 Tc 2.62-2.87
Tc  0.0000  0.5000  0.8256  4 C 2.50, 6 Tc 2.62-2.80
Tc  0.5000  0.0000  0.1117  10 Tc 2.62-2.82
Tc  0.5000  0.0000  0.4407  2 C 2.07
Tc  0.5000  0.5000  0.6117  10 Tc 2.62-2.82
Tc  0.5000  0.5000  0.9407  2 C 2.07
C  0.5000  0.0000  0.8345  2 Tc 2.07
C  0.5000  0.5000  0.3345  2 Tc 2.07

Results
relative energy among the computed polymorphs	0.403	eV per atom
energy of formation from the pure elements	0.5155	eV/atom
space-group type	Amm2 (38)
calculated density	10.0	Mg/m³
D(E_F)	0.88	states/eV per atom


No. 6
A plane-wave DFT calculation with PBE was carried out for crystalline NaSr2Hg8 at its relaxed geometry.

a b c (Å): 9.4616 9.4616 5.4095
angles (deg): 106.02 106.02 125.03
Closest atoms and distances in Å follow each position.
Fractional coordinates of all 11 atoms:
Na  0.0000  0.0000  0.0000  4 Hg 3.15-3.25
Sr  0.3173  0.6827  0.5000  12 Hg 3.38-3.51
Sr  0.6827  0.3173  0.5000  12 Hg 3.38-3.51
Hg  0.0850  0.3594  0.7406  3 Hg 2.98-3.14
Hg  0.1935  0.8065  0.0000  6 Hg 3.14-3.44, 1 Na 3.25, 4 Sr 3.41-3.51
Hg  0.3594  0.0850  0.7406  3 Hg 2.98-3.14
Hg  0.4010  0.4010  0.6516  4 Hg 2.98-3.07, 1 Na 3.15
Hg  0.5990  0.5990  0.3484  4 Hg 2.98-3.07, 1 Na 3.15
Hg  0.6406  0.9150  0.2594  3 Hg 2.98-3.14
Hg  0.8065  0.1935  0.0000  6 Hg 3.14-3.44, 1 Na 3.25, 4 Sr 3.41-3.51
Hg  0.9150  0.6406  0.2594  3 Hg 2.98-3.14

Results
energy of formation from the pure elements	-0.3254	eV/atom
space-group type	C2/m (12)
calculated density	9.4	Mg/m³
D(E_F)	0.58	states/eV per atom


No. 7
A plane-wave DFT calculation with PBE was carried out for crystalline IrPb2W at its relaxed geometry.

a b c (Å): 7.9171 7.9171 5.7161
angles (deg): 90.00 90.00 90.00
Closest atoms and distances in Å follow each position.
Fractional coordinates of all 16 atoms:
Ir  0.0000  0.0000  0.0000  4 Pb 2.76, 2 W 2.86
Ir  0.0000  0.5000  0.2500  4 Pb 2.76, 2 W 2.86
Ir  0.5000  0.0000  0.7500  4 Pb 2.76, 2 W 2.86
Ir  0.5000  0.5000  0.5000  4 Pb 2.76, 2 W 2.86
Pb  0.2261  0.2500  0.1250  2 Ir 2.76, 2 Pb 2.88, 2 W 3.02
Pb  0.2500  0.7261  0.3750  2 Ir 2.76, 2 Pb 2.88, 2 W 3.02
Pb  0.2500  0.7739  0.8750  2 Ir 2.76, 2 Pb 2.88, 2 W 3.02
Pb  0.2739  0.2500  0.6250  2 Ir 2.76, 2 Pb 2.88, 2 W 3.02
Pb  0.7261  0.7500  0.6250  2 Ir 2.76, 2 Pb 2.88, 2 W 3.02
Pb  0.7500  0.2261  0.8750  2 Ir 2.76, 2 Pb 2.88, 2 W 3.02
Pb  0.7500  0.2739  0.3750  2 Ir 2.76, 2 Pb 2.88, 2 W 3.02
Pb  0.7739  0.7500  0.1250  2 Ir 2.76, 2 Pb 2.88, 2 W 3.02
W  0.0000  0.0000  0.5000  2 Ir 2.86, 4 Pb 3.02
W  0.0000  0.5000  0.7500  2 Ir 2.86, 4 Pb 3.02
W  0.5000  0.0000  0.2500  2 Ir 2.86, 4 Pb 3.02
W  0.5000  0.5000  0.0000  2 Ir 2.86, 4 Pb 3.02

Results
relative energy among the computed polymorphs	0.961	eV per atom
energy of formation from the pure elements	1.2459	eV/atom
space-group type	I-42d (122)
calculated density	14.7	Mg/m³
D(E_F)	0.91	states/eV per atom


No. 8
A plane-wave DFT calculation with PBE was carried out for crystalline ZnP2W at its relaxed geometry.

a b c (Å): 3.2548 3.2548 20.4768
angles (deg): 90.00 90.00 120.00
Closest atoms and distances in Å follow each position.
Fractional coordinates of all 12 atoms:
Zn  0.0000  0.0000  0.0000  6 P 2.60
Zn  0.3333  0.6667  0.6667  6 P 2.60
Zn  0.6667  0.3333  0.3333  6 P 2.60
P  0.0000  0.0000  0.2457  3 W 2.48, 3 Zn 2.60
P  0.0000  0.0000  0.7543  3 W 2.48, 3 Zn 2.60
P  0.3333  0.6667  0.4210  3 W 2.48, 3 Zn 2.60
P  0.3333  0.6667  0.9124  3 W 2.48, 3 Zn 2.60
P  0.6667  0.3333  0.0876  3 W 2.48, 3 Zn 2.60
P  0.6667  0.3333  0.5790  3 W 2.48, 3 Zn 2.60
W  0.0000  0.0000  0.5000  6 P 2.48
W  0.3333  0.6667  0.1667  6 P 2.48
W  0.6667  0.3333  0.8333  6 P 2.48

Results
energy of formation from the pure elements	-0.0790	eV/atom
space-group type	R-3m (166)
calculated density	8.3	Mg/m³
D(E_F)	0.23	states/eV per atom


No. 9
A plane-wave DFT calculation with PBE was carried out for crystalline Ti3TeP at its relaxed geometry.

a b c (Å): 5.0295 5.0295 5.0295
angles (deg): 90.00 90.00 90.00
Closest atoms and distances in Å follow each position.
Fractional coordinates of all 5 atoms:
Ti  0.0000  0.0000  0.5000  2 Te 2.51
Ti  0.0000  0.5000  0.0000  2 Te 2.51
Ti  0.5000  0.0000  0.0000  2 Te 2.51
Te  0.0000  0.0000  0.0000  6 Ti 2.51
P  0.5000  0.5000  0.5000  12 Ti 3.56

Results
relative energy among the computed polymorphs	1.172	eV per atom
space-group type	Pm-3m (221)
calculated density	3.9	Mg/m³
D(E_F)	1.14	states/eV per atom
formation energy without anion corrections	87.0	kJ per mole of atoms


No. 10
A plane-wave DFT calculation with PBE was carried out for crystalline AcPmHo4 at its relaxed geometry.

a b c (Å): 6.7585 8.2212 8.8838
angles (deg): 104.99 111.54 104.52
Closest atoms and distances in Å follow each position.
Fractional coordinates of all 12 atoms:
Ac  0.2471  0.2799  0.4248  6 Ho 3.52-3.84, 3 Pm 3.67-3.86, 1 Ac 3.81
Ac  0.7529  0.7201  0.5752  6 Ho 3.52-3.84, 3 Pm 3.67-3.86, 1 Ac 3.81
Pm  0.3267  0.6868  0.7699  7 Ho 3.36-3.62, 2 Ac 3.67-3.74
Pm  0.6733  0.3132  0.2301  7 Ho 3.36-3.62, 2 Ac 3.67-3.74
Ho  0.1792  0.8961  0.0647  6 Ho 3.34-3.53, 2 Pm 3.36-3.62, 1 Ac 3.66
Ho  0.1847  0.7594  0.3922  5 Ho 3.37-3.66, 1 Pm 3.39, 1 Ac 3.72
Ho  0.2715  0.1046  0.7830  7 Ho 3.44-3.76, 2 Pm 3.51-3.52, 2 Ac 3.52-3.79
Ho  0.2718  0.4917  0.0609  8 Ho 3.39-3.66, 2 Pm 3.45-3.46
Ho  0.7282  0.5083  0.9391  8 Ho 3.39-3.66, 2 Pm 3.45-3.46
Ho  0.7285  0.8954  0.2170  7 Ho 3.44-3.76, 2 Pm 3.51-3.52, 2 Ac 3.52-3.79
Ho  0.8153  0.2406  0.6078  5 Ho 3.37-3.66, 1 Pm 3.39, 1 Ac 3.72
Ho  0.8208  0.1039  0.9353  6 Ho 3.34-3.53, 2 Pm 3.36-3.62, 1 Ac 3.66

Results
relative energy among the computed polymorphs	0.015	eV per atom
energy of formation from the pure elements	0.0762	eV/atom
space-group type	P-1 (2)
calculated density	8.4	Mg/m³
D(E_F)	1.56	states/eV per atom


No. 11
A plane-wave DFT calculation with PBE was carried out for crystalline ZrZn9Cu2 at its relaxed geometry.

a b c (Å): 8.4812 8.4812 2.8883
angles (deg): 90.00 90.00 120.00
Closest atoms and distances in Å follow each position.
Fractional coordinates of all 12 atoms:
Zr  0.0000  0.0000  0.0000  2 Zr 2.89, 12 Zn 3.04
Zn  0.0000  0.5000  0.0000  2 Cu 2.45
Zn  0.1817  0.3635  0.5000  2 Cu 2.65, 8 Zn 2.67-2.89
Zn  0.1817  0.8183  0.5000  2 Cu 2.65, 8 Zn 2.67-2.89
Zn  0.3635  0.1817  0.5000  2 Cu 2.65, 8 Zn 2.67-2.89
Zn  0.5000  0.0000  0.0000  2 Cu 2.45
Zn  0.5000  0.5000  0.0000  2 Cu 2.45
Zn  0.6365  0.8183  0.5000  2 Cu 2.65, 8 Zn 2.67-2.89
Zn  0.8183  0.1817  0.5000  2 Cu 2.65, 8 Zn 2.67-2.89
Zn  0.8183  0.6365  0.5000  2 Cu 2.65, 8 Zn 2.67-2.89
Cu  0.3333  0.6667  0.0000  9 Zn 2.45-2.65
Cu  0.6667  0.3333  0.0000  9 Zn 2.45-2.65

Results
relative energy among the computed polymorphs	0.022	eV per atom
energy of formation from the pure elements	-0.1121	eV/atom
space-group type	P6/mmm (191)
calculated density	7.4	Mg/m³
D(E_F)	0.13	states/eV per atom


No. 12
A plane-wave DFT calculation with PBE was carried out for crystalline AcCu9Ni3 at its relaxed geometry.

a b c (Å): 6.5519 6.5519 6.4360
angles (deg): 97.59 97.59 136.24
Closest atoms and distances in Å follow each position.
Fractional coordinates of all 13 atoms:
Ac  0.0000  0.0000  0.0000  14 Cu 3.05-3.28, 6 Ni 3.22-3.28
Cu  0.0186  0.6607  0.6460  6 Cu 2.47-2.70, 3 Ni 2.59-2.61
Cu  0.2662  0.5045  0.7644  3 Ni 2.45-2.50, 5 Cu 2.45-2.69
Cu  0.3393  0.9814  0.3540  6 Cu 2.47-2.70, 3 Ni 2.59-2.61
Cu  0.4955  0.7338  0.2356  3 Ni 2.45-2.50, 5 Cu 2.45-2.69
Cu  0.5000  0.5000  0.5000  2 Ni 2.44, 8 Cu 2.45-2.70
Cu  0.5045  0.2662  0.7644  3 Ni 2.45-2.50, 5 Cu 2.45-2.69
Cu  0.6607  0.0186  0.6460  6 Cu 2.47-2.70, 3 Ni 2.59-2.61
Cu  0.7338  0.4955  0.2356  3 Ni 2.45-2.50, 5 Cu 2.45-2.69
Cu  0.9814  0.3393  0.3540  6 Cu 2.47-2.70, 3 Ni 2.59-2.61
Ni  0.0000  0.0000  0.5000  10 Cu 2.44-2.60
Ni  0.0000  0.5000  0.0000  2 Ni 2.44, 8 Cu 2.45-2.61
Ni  0.5000  0.0000  0.0000  2 Ni 2.44, 8 Cu 2.45-2.61

Results
energy of formation from the pure elements	-0.0692	eV/atom
space-group type	C2/m (12)
calculated density	9.1	Mg/m³
D(E_F)	0.51	states/eV per atom